20
Lattice="5.5670 0.0000 0.0000 0.0000 4.1947 0.0000 -4.7419 0.0000 9.7106" Properties=species:S:1:pos:R:3 comment="Pm2CrHO6 PBE with a Hubbard U relaxed" magnetic_moment_mub_per_fu=1.00 crystal_system=monoclinic e_tot_ev_per_atom=-7.10 sg="P2_1/c, No. 14" pbc="T T T"
Pm 0.1055 0.5696 1.8524
Pm -2.2654 1.5278 6.7077
Pm 3.0905 2.6669 3.0029
Pm 0.7195 3.6251 7.8582
Cr 2.7835 0.0000 0.0000
Cr 0.4125 2.0973 4.8553
H -2.3710 0.0000 4.8553
H 0.0000 2.0973 0.0000
O -1.5435 0.9441 4.5576
O -3.9145 1.1532 9.4129
O -0.1952 2.8053 3.1130
O -2.5662 3.4868 7.9683
O 1.8293 3.1262 1.0057
O -0.5416 3.1659 5.8610
O 1.3666 1.0288 3.8496
O -1.0043 1.0685 8.7049
O 3.3912 0.7079 1.7423
O 1.0202 1.3894 6.5975
O 4.7395 3.0415 0.2977
O 2.3685 3.2506 5.1530